# Na2LiNiO4 (PBE+U, optimized geometry)
data_Na2LiNiO4
_chemical_formula_sum 'Na4 Li2 Ni2 O8'
_cell_length_a 5.844
_cell_length_b 5.844
_cell_length_c 5.417
_cell_angle_alpha 90.00
_cell_angle_beta 90.00
_cell_angle_gamma 90.00
_symmetry_space_group_name_H-M 'I -4 2 m'
_symmetry_Int_Tables_number 121
_symmetry_space_group_name_Hall 'I -4 2'
loop_
_atom_site_label
_atom_site_fract_x
_atom_site_fract_y
_atom_site_fract_z
Na1 0.000 0.500 0.000
Li1 0.000 0.000 0.000
Ni1 0.000 0.000 0.500
O1 0.167 0.167 0.284
# - density (kg/m³) = 3153
# - DFT total energy (Ha/atom) = -0.155
# - total magnetization (μB/f.u.) = 5.04